# 1
## Fe2HRh (GGA-PBE)

Data for crystalline Fe2HRh at its relaxed geometry.

Its total magnetic moment is 5.258 μB/f.u. The value obtained for the theoretical density is 8.78 g/cm³. The density of states at the Fermi level comes out at 13.8 states/eV per cell. The calculation puts the offset from the most stable computed form at 58.3 meV/atom. The uncorrected energy comes out at -6.842 eV/atom.

It has space group P2_1/c (No. 14), with a = 7.110 Å, b = 4.511 Å, c = 5.086 Å, α = 90.00°, β = 90.87° and γ = 90.00°. Symmetry generates all atoms from Fe at (0.087, 0.231, 0.385), Fe at (0.261, 0.689, 0.546), H at (0.089, 0.662, 0.841) and Rh at (0.413, 0.178, 0.672).


# 2
## Fe2HRh6 (GGA-PBE)

Data for crystalline Fe2HRh6 at its relaxed geometry.

Its total magnetic moment is 7.476 μB/f.u. The value obtained for the theoretical density is 10.71 g/cm³. The density of states at the Fermi level comes out at 22.6 states/eV per cell. The uncorrected energy comes out at -7.207 eV/atom.

It has space group Fm-3m (No. 225), with a = 7.678 Å, b = 7.678 Å, c = 7.678 Å, α = 90.00°, β = 90.00° and γ = 90.00°. Symmetry generates all atoms from Fe at (0.250, 0.250, 0.250), H at (0.000, 0.000, 0.000) and Rh at (0.000, 0.000, 0.253).


# 3
## FeH2Rh2 (GGA-PBE)

Data for crystalline FeH2Rh2 at its relaxed geometry.

Its total magnetic moment is 3.587 μB/f.u. The value obtained for the theoretical density is 9.71 g/cm³. The density of states at the Fermi level comes out at 4.2 states/eV per cell. The calculation puts the offset from the most stable computed form at 21.7 meV/atom. The uncorrected energy comes out at -5.972 eV/atom.

It has space group P-3m1 (No. 164), with a = 2.7779 Å, b = 2.7779 Å, c = 6.7491 Å, α = 90.00°, β = 90.00° and γ = 120.00°. Symmetry generates all atoms from Fe at (0.0000, 0.0000, 0.0000), H at (0.3333, 0.6667, 0.1724) and Rh at (0.3333, 0.6667, 0.6713).